An optimized crystal structure of Dy2Y6Zr, computed with PBE-GGA.

extended XYZ file:
```
18
Lattice="7.840 -5.768 0.000 7.840 5.768 0.000 -1.113 0.000 6.286" Properties=species:S:1:pos:R:3 pbc="T T T"
Dy 2.649 0.363 2.571
Dy 2.092 -0.363 5.715
Dy 12.475 0.363 0.572
Dy 11.918 -0.363 3.715
Y 4.724 2.789 1.511
Y 6.343 4.140 6.217
Y 7.667 4.140 3.212
Y 5.247 1.224 4.698
Y 10.399 2.789 1.632
Y 5.804 -1.224 1.555
Y 8.762 1.224 4.731
Y 4.168 -2.789 4.654
Y 9.319 -1.224 1.588
Y 6.899 -4.140 3.074
Y 8.224 -4.140 0.069
Y 9.842 -2.789 4.775
Zr 7.562 1.456 1.572
Zr 7.005 -1.456 4.715
```

V	31.59	Å³ per atom
Fermi-level density of states	14.42	states/eV/f.u.
total magnetization	0.00	μB per formula unit
energy relative to the elements	0.156	eV/atom

An optimized crystal structure of CsPdPb2, computed with PBE-GGA.

extended XYZ file:
```
12
Lattice="4.670 0.000 0.000 -2.335 4.044 0.000 0.000 0.000 22.767" Properties=species:S:1:pos:R:3 pbc="T T T"
Cs 0.000 0.000 0.000
Cs 0.000 2.696 15.178
Cs 2.335 1.348 7.589
Pd 0.000 0.000 3.880
Pd 0.000 2.696 19.058
Pd 2.335 1.348 11.469
Pb 0.000 0.000 12.392
Pb 0.000 0.000 18.008
Pb 0.000 2.696 4.803
Pb 0.000 2.696 10.419
Pb 2.335 1.348 2.830
Pb 2.335 1.348 19.981
```

V	35.83	Å³ per atom
Fermi-level density of states	2.33	states/eV/f.u.
total magnetization	0.00	μB per formula unit
energy relative to the elements	-0.238	eV/atom

An optimized crystal structure of KCdO2, computed with PBE-GGA.

extended XYZ file:
```
16
Lattice="6.336 0.000 0.000 0.000 6.336 0.000 0.000 0.000 7.468" Properties=species:S:1:pos:R:3 pbc="T T T"
K 0.000 0.000 0.000
K 0.000 3.168 1.867
K 3.168 0.000 5.601
K 3.168 3.168 3.734
Cd 0.000 0.000 3.734
Cd 0.000 3.168 5.601
Cd 3.168 0.000 1.867
Cd 3.168 3.168 0.000
O 1.148 1.584 4.668
O 1.584 4.316 6.535
O 1.584 5.188 2.801
O 2.020 1.584 0.934
O 4.316 4.752 0.934
O 4.752 1.148 2.801
O 4.752 2.020 6.535
O 5.188 4.752 4.668
```

V	18.74	Å³ per atom
Fermi-level density of states	3.31	states/eV/f.u.
total magnetization	1.00	μB per formula unit
formation energy from raw total energies	-833.0	meV per atom

An optimized crystal structure of NpCdInCl6, computed with PBE-GGA.

extended XYZ file:
```
18
Lattice="7.100 0.000 0.000 -3.550 6.149 0.000 0.000 0.000 13.660" Properties=species:S:1:pos:R:3 pbc="T T T"
Np 0.000 4.099 3.415
Np 3.550 2.050 10.245
Cd 0.000 4.099 10.245
Cd 3.550 2.050 3.415
In 0.000 0.000 0.000
In 0.000 0.000 6.830
Cl -1.275 2.295 8.727
Cl -2.200 3.897 11.762
Cl 1.275 2.295 11.762
Cl -0.925 6.106 8.727
Cl 2.625 0.043 1.898
Cl 1.350 2.252 4.932
Cl 2.200 3.897 8.727
Cl 0.925 6.106 11.762
Cl 4.475 0.043 4.932
Cl 2.275 3.854 1.898
Cl 5.750 2.252 1.898
Cl 4.825 3.854 4.932
```

V	33.13	Å³ per atom
Fermi-level density of states	8.13	states/eV/f.u.
total magnetization	4.00	μB per formula unit
formation energy from raw total energies	-1303.5	meV per atom

What did the fourth record say?
An optimized crystal structure of NpCdInCl6, computed with PBE-GGA.

extended XYZ file:
```
18
Lattice="7.100 0.000 0.000 -3.550 6.149 0.000 0.000 0.000 13.660" Properties=species:S:1:pos:R:3 pbc="T T T"
Np 0.000 4.099 3.415
Np 3.550 2.050 10.245
Cd 0.000 4.099 10.245
Cd 3.550 2.050 3.415
In 0.000 0.000 0.000
In 0.000 0.000 6.830
Cl -1.275 2.295 8.727
Cl -2.200 3.897 11.762
Cl 1.275 2.295 11.762
Cl -0.925 6.106 8.727
Cl 2.625 0.043 1.898
Cl 1.350 2.252 4.932
Cl 2.200 3.897 8.727
Cl 0.925 6.106 11.762
Cl 4.475 0.043 4.932
Cl 2.275 3.854 1.898
Cl 5.750 2.252 1.898
Cl 4.825 3.854 4.932
```

V	33.13	Å³ per atom
Fermi-level density of states	8.13	states/eV/f.u.
total magnetization	4.00	μB per formula unit
formation energy from raw total energies	-1303.5	meV per atom